# 1
Density functional theory data (PBE-GGA) for a relaxed Ir2CSe crystal.

Theoretical density: 14.7 g/cm3
Formation energy (no corrections): 1.413 eV/atom
Total magnetization: 0.000 μB/atom
Symmetry: Fm-3m (225)
Energy above the most stable polymorph in this dataset: 1031 meV per atom

Cell lengths 4.234, 4.234, 4.234 Å; angles 60.00, 60.00, 60.00 degrees
Positions (direct):
Ir (0.250, 0.250, 0.250)
Ir (0.750, 0.750, 0.750)
C (0.000, 0.000, 0.000)
Se (0.500, 0.500, 0.500)

---

# 2
Density functional theory data (PBE-GGA) for a relaxed IrCSe2 crystal.

Theoretical density: 8.3 g/cm3
Formation energy (no corrections): 1.022 eV/atom
Total magnetization: 0.000 μB/atom
Symmetry: I-42d (122)

Cell lengths 6.286, 6.286, 6.286 Å; angles 129.40, 129.40, 74.36 degrees
Positions (direct):
Ir (0.000, 0.000, 0.000)
Ir (0.750, 0.250, 0.500)
C (0.250, 0.750, 0.500)
C (0.500, 0.500, 0.000)
Se (0.165, 0.625, 0.040)
Se (0.375, 0.415, 0.540)
Se (0.585, 0.125, 0.960)
Se (0.875, 0.835, 0.460)

---

# 3
Density functional theory data (PBE-GGA) for a relaxed IrCSe2 crystal.

Theoretical density: 9.7 g/cm3
Formation energy (no corrections): 1.326 eV/atom
Total magnetization: 0.000 μB/atom
Symmetry: R-3m (166)

Cell lengths 7.758, 7.758, 7.758 Å; angles 22.90, 22.90, 22.90 degrees
Positions (direct):
Ir (0.000, 0.000, 0.000)
C (0.500, 0.500, 0.500)
Se (0.105, 0.105, 0.105)
Se (0.895, 0.895, 0.895)

---

# 4
Density functional theory data (PBE-GGA) for a relaxed IrCSe3 crystal.

Theoretical density: 9.3 g/cm3
Formation energy (no corrections): 1.385 eV/atom
Total magnetization: 0.000 μB/atom
Symmetry: Pm-3m (221)
Energy above the most stable polymorph in this dataset: 0 meV per atom

Cell lengths 4.286, 4.286, 4.286 Å; angles 90.00, 90.00, 90.00 degrees
Positions (direct):
Ir (0.000, 0.000, 0.000)
C (0.500, 0.500, 0.500)
Se (0.000, 0.500, 0.500)
Se (0.500, 0.000, 0.500)
Se (0.500, 0.500, 0.000)

---

# 5
Density functional theory data (PBE-GGA) for a relaxed SiIrCSe2 crystal.

Theoretical density: 6.3 g/cm3
Formation energy (no corrections): 2.036 eV/atom
Total magnetization: 0.123 μB/atom
Symmetry: P4/mmm (123)
Energy above the most stable polymorph in this dataset: 839 meV per atom

Cell lengths 4.774, 4.774, 4.526 Å; angles 90.00, 90.00, 90.00 degrees
Positions (direct):
Si (0.000, 0.000, 0.000)
Ir (0.000, 0.000, 0.500)
C (0.500, 0.500, 0.500)
Se (0.000, 0.500, 0.000)
Se (0.500, 0.000, 0.000)

---

# 6
Density functional theory data (PBE-GGA) for a relaxed SiIrCSe2 crystal.

Theoretical density: 7.9 g/cm3
Formation energy (no corrections): 1.197 eV/atom
Total magnetization: 0.000 μB/atom
Symmetry: P4/mmm (123)
Energy above the most stable polymorph in this dataset: 0 meV per atom

Cell lengths 4.884, 4.884, 3.430 Å; angles 90.00, 90.00, 90.00 degrees
Positions (direct):
Si (0.000, 0.000, 0.000)
Ir (0.500, 0.500, 0.500)
C (0.000, 0.000, 0.500)
Se (0.000, 0.500, 0.000)
Se (0.500, 0.000, 0.000)

---

# 7
Density functional theory data (PBE-GGA) for a relaxed Th8Ir3CSe4 crystal.

Theoretical density: 11.0 g/cm3
Formation energy (no corrections): -1.178 eV/atom
Total magnetization: 0.000 μB/atom
Symmetry: R-3m (166)

Cell lengths 8.610, 8.610, 8.610 Å; angles 56.77, 56.77, 56.77 degrees
Positions (direct):
Th (0.239, 0.239, 0.239)
Th (0.253, 0.731, 0.731)
Th (0.269, 0.269, 0.747)
Th (0.269, 0.747, 0.269)
Th (0.731, 0.253, 0.731)
Th (0.731, 0.731, 0.253)
Th (0.747, 0.269, 0.269)
Th (0.761, 0.761, 0.761)
Ir (0.000, 0.000, 0.500)
Ir (0.000, 0.500, 0.000)
Ir (0.500, 0.000, 0.000)
C (0.500, 0.500, 0.500)
Se (0.000, 0.000, 0.000)
Se (0.000, 0.500, 0.500)
Se (0.500, 0.000, 0.500)
Se (0.500, 0.500, 0.000)

---

# 8
Density functional theory data (PBE-GGA) for a relaxed Th8IrC3Se4 crystal.

Theoretical density: 10.4 g/cm3
Formation energy (no corrections): -1.071 eV/atom
Total magnetization: 0.000 μB/atom
Symmetry: R-3m (166)

Cell lengths 8.341, 8.341, 8.341 Å; angles 56.96, 56.96, 56.96 degrees
Positions (direct):
Th (0.219, 0.745, 0.745)
Th (0.234, 0.234, 0.234)
Th (0.255, 0.255, 0.781)
Th (0.255, 0.781, 0.255)
Th (0.745, 0.219, 0.745)
Th (0.745, 0.745, 0.219)
Th (0.766, 0.766, 0.766)
Th (0.781, 0.255, 0.255)
Ir (0.500, 0.500, 0.500)
C (0.000, 0.000, 0.500)
C (0.000, 0.500, 0.000)
C (0.500, 0.000, 0.000)
Se (0.000, 0.000, 0.000)
Se (0.000, 0.500, 0.500)
Se (0.500, 0.000, 0.500)
Se (0.500, 0.500, 0.000)

---

# 9
Density functional theory data (PBE-GGA) for a relaxed Th6Ir2C3Se crystal.

Theoretical density: 11.8 g/cm3
Formation energy (no corrections): -0.682 eV/atom
Total magnetization: 0.000 μB/atom
Symmetry: C2/m (12)

Cell lengths 8.997, 8.997, 8.175 Å; angles 106.37, 106.37, 24.79 degrees
Positions (direct):
Th (0.003, 0.003, 0.222)
Th (0.323, 0.323, 0.422)
Th (0.342, 0.342, 0.896)
Th (0.658, 0.658, 0.104)
Th (0.677, 0.677, 0.578)
Th (0.997, 0.997, 0.778)
Ir (0.172, 0.172, 0.842)
Ir (0.828, 0.828, 0.158)
C (0.158, 0.158, 0.341)
C (0.500, 0.500, 0.000)
C (0.842, 0.842, 0.659)
Se (0.500, 0.500, 0.500)

---

# 10
Density functional theory data (PBE-GGA) for a relaxed Th6IrC2Se3 crystal.

Theoretical density: 10.5 g/cm3
Formation energy (no corrections): -1.103 eV/atom
Total magnetization: 0.000 μB/atom
Symmetry: C2/m (12)

Cell lengths 9.347, 9.347, 8.461 Å; angles 106.56, 106.56, 24.27 degrees
Positions (direct):
Th (0.017, 0.017, 0.243)
Th (0.322, 0.322, 0.442)
Th (0.331, 0.331, 0.873)
Th (0.669, 0.669, 0.127)
Th (0.678, 0.678, 0.558)
Th (0.983, 0.983, 0.757)
Ir (0.500, 0.500, 0.000)
C (0.171, 0.171, 0.336)
C (0.829, 0.829, 0.664)
Se (0.162, 0.162, 0.833)
Se (0.500, 0.500, 0.500)
Se (0.838, 0.838, 0.167)

---

# 11
Density functional theory data (PBE-GGA) for a relaxed Th4IrCSe2 crystal.

Theoretical density: 10.7 g/cm3
Formation energy (no corrections): -1.110 eV/atom
Total magnetization: 0.000 μB/atom
Symmetry: P2/m (10)

Cell lengths 7.145, 3.964, 7.408 Å; angles 90.00, 108.20, 90.00 degrees
Positions (direct):
Th (0.217, 0.000, 0.210)
Th (0.249, 0.500, 0.783)
Th (0.751, 0.500, 0.217)
Th (0.783, 0.000, 0.790)
Ir (0.500, 0.000, 0.000)
C (0.000, 0.500, 0.000)
Se (0.000, 0.000, 0.500)
Se (0.500, 0.500, 0.500)

---

# 12
Density functional theory data (PBE-GGA) for a relaxed ZnIrC2Se crystal.

Theoretical density: 7.2 g/cm3
Formation energy (no corrections): 1.115 eV/atom
Total magnetization: 0.000 μB/atom
Symmetry: P4/mmm (123)

Cell lengths 3.861, 3.861, 5.604 Å; angles 90.00, 90.00, 90.00 degrees
Positions (direct):
Zn (0.000, 0.000, 0.000)
Ir (0.000, 0.000, 0.500)
C (0.000, 0.500, 0.500)
C (0.500, 0.000, 0.500)
Se (0.500, 0.500, 0.000)

---

# 13
Density functional theory data (PBE-GGA) for a relaxed SiIr2C2 crystal.

Theoretical density: 12.2 g/cm3
Formation energy (no corrections): 1.328 eV/atom
Total magnetization: 0.000 μB/atom
Symmetry: P4/mbm (127)
Energy above the most stable polymorph in this dataset: 441 meV per atom

Cell lengths 6.649, 6.649, 2.698 Å; angles 90.00, 90.00, 90.00 degrees
Positions (direct):
Si (0.000, 0.000, 0.000)
Si (0.500, 0.500, 0.000)
Ir (0.166, 0.334, 0.000)
Ir (0.334, 0.834, 0.000)
Ir (0.666, 0.166, 0.000)
Ir (0.834, 0.666, 0.000)
C (0.169, 0.669, 0.500)
C (0.331, 0.169, 0.500)
C (0.669, 0.831, 0.500)
C (0.831, 0.331, 0.500)

---

# 14
Density functional theory data (PBE-GGA) for a relaxed Si2Ir4C crystal.

Theoretical density: 13.8 g/cm3
Formation energy (no corrections): 0.445 eV/atom
Total magnetization: 0.000 μB/atom
Symmetry: I4/mmm (139)

Cell lengths 7.034, 7.034, 7.034 Å; angles 147.45, 147.45, 46.69 degrees
Positions (direct):
Si (0.139, 0.139, 0.000)
Si (0.861, 0.861, 0.000)
Ir (0.000, 0.500, 0.500)
Ir (0.313, 0.313, 0.000)
Ir (0.500, 0.000, 0.500)
Ir (0.687, 0.687, 0.000)
C (0.500, 0.500, 0.000)

---

# 15
Density functional theory data (PBE-GGA) for a relaxed Si3IrC crystal.

Theoretical density: 7.9 g/cm3
Formation energy (no corrections): 0.623 eV/atom
Total magnetization: 0.000 μB/atom
Symmetry: Pm-3m (221)
Energy above the most stable polymorph in this dataset: 0 meV per atom

Cell lengths 3.934, 3.934, 3.934 Å; angles 90.00, 90.00, 90.00 degrees
Positions (direct):
Si (0.000, 0.000, 0.500)
Si (0.000, 0.500, 0.000)
Si (0.500, 0.000, 0.000)
Ir (0.500, 0.500, 0.500)
C (0.000, 0.000, 0.000)

---

# 16
Density functional theory data (PBE-GGA) for a relaxed SiIr2C crystal.

Theoretical density: 14.5 g/cm3
Formation energy (no corrections): 0.794 eV/atom
Total magnetization: 0.000 μB/atom
Symmetry: Fm-3m (225)
Energy above the most stable polymorph in this dataset: 660 meV per atom

Cell lengths 4.093, 4.093, 4.093 Å; angles 60.00, 60.00, 60.00 degrees
Positions (direct):
Si (0.000, 0.000, 0.000)
Ir (0.250, 0.250, 0.250)
Ir (0.750, 0.750, 0.750)
C (0.500, 0.500, 0.500)

---

# 17
Density functional theory data (PBE-GGA) for a relaxed Si3IrC crystal.

Theoretical density: 5.0 g/cm3
Formation energy (no corrections): 1.521 eV/atom
Total magnetization: 0.201 μB/atom
Symmetry: Pm-3m (221)
Energy above the most stable polymorph in this dataset: 898 meV per atom

Cell lengths 4.587, 4.587, 4.587 Å; angles 90.00, 90.00, 90.00 degrees
Positions (direct):
Si (0.000, 0.000, 0.500)
Si (0.000, 0.500, 0.000)
Si (0.500, 0.000, 0.000)
Ir (0.000, 0.000, 0.000)
C (0.500, 0.500, 0.500)

---

# 18
Density functional theory data (PBE-GGA) for a relaxed SiIr2C2 crystal.

Theoretical density: 11.6 g/cm3
Formation energy (no corrections): 0.888 eV/atom
Total magnetization: 0.000 μB/atom
Symmetry: I4/mmm (139)
Energy above the most stable polymorph in this dataset: 0 meV per atom

Cell lengths 6.304, 6.304, 6.304 Å; angles 149.95, 149.95, 43.02 degrees
Positions (direct):
Si (0.000, 0.000, 0.000)
Ir (0.353, 0.353, 0.000)
Ir (0.647, 0.647, 0.000)
C (0.250, 0.750, 0.500)
C (0.750, 0.250, 0.500)

---

# 19
Density functional theory data (PBE-GGA) for a relaxed SiIr2C crystal.

Theoretical density: 11.5 g/cm3
Formation energy (no corrections): 0.133 eV/atom
Total magnetization: 0.000 μB/atom
Symmetry: I-42d (122)
Energy above the most stable polymorph in this dataset: 0 meV per atom

Cell lengths 6.005, 6.005, 6.005 Å; angles 130.35, 130.35, 72.86 degrees
Positions (direct):
Si (0.000, 0.000, 0.000)
Si (0.750, 0.250, 0.500)
Ir (0.186, 0.625, 0.061)
Ir (0.375, 0.436, 0.561)
Ir (0.564, 0.125, 0.939)
Ir (0.875, 0.814, 0.439)
C (0.250, 0.750, 0.500)
C (0.500, 0.500, 0.000)

---

# 20
Density functional theory data (PBE-GGA) for a relaxed TaSiIr2C crystal.

Theoretical density: 13.8 g/cm3
Formation energy (no corrections): 0.428 eV/atom
Total magnetization: 0.000 μB/atom
Symmetry: P4/mmm (123)

Cell lengths 3.909, 3.909, 4.757 Å; angles 90.00, 90.00, 90.00 degrees
Positions (direct):
Ta (0.000, 0.000, 0.000)
Si (0.500, 0.500, 0.000)
Ir (0.000, 0.500, 0.500)
Ir (0.500, 0.000, 0.500)
C (0.500, 0.500, 0.500)